No. 1
YHoGa | GGA-PBE | optimized geometry

abc: 4.9681 4.9681 4.9681
angles: 60.00 60.00 60.00
Sites, in units of the cell vectors:
Ga: 0.0000 0.0000 0.0000
Ho: 0.2500 0.2500 0.2500
Y: 0.7500 0.7500 0.7500

## Properties
E	-0.3644	Ry/atom

---

No. 2
YHoGa2 | GGA-PBE | optimized geometry

abc: 5.2177 6.6457 6.6457
angles: 125.70 90.00 90.00
Sites, in units of the cell vectors:
Ga: 0.2500 0.8462 0.1870
Ga: 0.2500 0.8025 0.6741
Ga: 0.7500 0.6741 0.8025
Ga: 0.7500 0.1870 0.8462
Ho: 0.7500 0.7022 0.3260
Ho: 0.2500 0.3260 0.7022
Y: 0.2500 0.3031 0.1588
Y: 0.7500 0.1588 0.3031

## Properties
E	-0.3372	Ry/atom

---

No. 3
YHoGa2 | GGA-PBE | optimized geometry

abc: 4.0476 5.8426 5.8426
angles: 43.48 90.00 90.00
Sites, in units of the cell vectors:
Ga: 0.0000 0.0769 0.0769
Ga: 0.5000 0.9230 0.9230
Ho: 0.0000 0.3608 0.3608
Y: 0.5000 0.6393 0.6393

## Properties
E	-0.3619	Ry/atom

---

No. 4
YHoGa2 | GGA-PBE | optimized geometry

abc: 4.9848 6.6093 6.6093
angles: 59.21 90.00 90.00
Sites, in units of the cell vectors:
Ga: 0.5000 0.1711 0.1711
Ga: 0.0000 0.8400 0.3118
Ga: 0.0000 0.8342 0.8342
Ga: 0.0000 0.3118 0.8400
Ho: 0.0000 0.3204 0.3204
Ho: 0.5000 0.6682 0.6682
Y: 0.5000 0.6964 0.1578
Y: 0.5000 0.1578 0.6964

## Properties
E	-0.3377	Ry/atom

---

No. 5
YHoGa2 | GGA-PBE | optimized geometry

abc: 6.1812 6.1812 5.0445
angles: 90.00 90.00 109.47
Sites, in units of the cell vectors:
Ga: 0.1334 0.3722 0.2500
Ga: 0.6278 0.8666 0.2500
Ga: 0.3722 0.1334 0.7500
Ga: 0.8666 0.6278 0.7500
Ho: 0.1258 0.8742 0.2500
Ho: 0.8742 0.1258 0.7500
Y: 0.6320 0.3680 0.2500
Y: 0.3680 0.6320 0.7500

## Properties
E	-0.3573	Ry/atom

---

No. 6
YHoZn2Ga2 | GGA-PBE | optimized geometry

abc: 4.4080 4.4080 7.1549
angles: 90.00 90.00 120.00
Sites, in units of the cell vectors:
Ga: 0.3333 0.6667 0.4647
Ga: 0.6667 0.3333 0.9690
Ho: 0.0000 0.0000 0.2491
Y: 0.0000 0.0000 0.7491
Zn: 0.3333 0.6667 0.0363
Zn: 0.6667 0.3333 0.5318

## Properties
E	-0.2840	Ry/atom

---

No. 7
Ho3Zn2Ga4 | GGA-PBE | optimized geometry

abc: 5.6939 5.6939 8.3848
angles: 108.74 108.74 45.09
Sites, in units of the cell vectors:
Ga: 0.9351 0.9351 0.1010
Ga: 0.2943 0.2943 0.4591
Ga: 0.7057 0.7057 0.5409
Ga: 0.0649 0.0649 0.8990
Ho: 0.6693 0.6693 0.1666
Ho: 0.0000 0.0000 0.5000
Ho: 0.3307 0.3307 0.8334
Zn: 0.3961 0.3961 0.2264
Zn: 0.6039 0.6039 0.7736

## Properties
E	-0.2747	Ry/atom

---

No. 8
HoZrZn2Ga2 | GGA-PBE | optimized geometry

abc: 4.3423 4.3423 6.8217
angles: 90.00 90.00 120.00
Sites, in units of the cell vectors:
Ga: 0.6667 0.3333 0.2357
Ga: 0.3333 0.6667 0.7643
Ho: 0.0000 0.0000 0.5000
Zn: 0.3333 0.6667 0.2313
Zn: 0.6667 0.3333 0.7687
Zr: 0.0000 0.0000 0.0000

## Properties
E	-0.3032	Ry/atom

---

No. 9
HoZrGa | GGA-PBE | optimized geometry

abc: 4.7366 4.7366 4.7366
angles: 60.00 60.00 60.00
Sites, in units of the cell vectors:
Ga: 0.0000 0.0000 0.0000
Ho: 0.2500 0.2500 0.2500
Zr: 0.7500 0.7500 0.7500

## Properties
E	-0.4035	Ry/atom

---

No. 10
Nd2InGaI2 | GGA-PBE | optimized geometry

abc: 4.4559 4.4559 12.5536
angles: 90.00 90.00 120.00
Sites, in units of the cell vectors:
Ga: 0.3333 0.6667 0.9643
I: 0.3333 0.6667 0.3331
I: 0.6667 0.3333 0.6702
In: 0.6667 0.3333 0.0267
Nd: 0.0000 0.0000 0.1752
Nd: 0.0000 0.0000 0.8305

## Properties
E	-0.2982	Ry/atom

---

No. 11
Pr2InGaI2 | GGA-PBE | optimized geometry

abc: 4.4775 4.4775 12.4920
angles: 90.00 90.00 120.00
Sites, in units of the cell vectors:
Ga: 0.3333 0.6667 0.0369
I: 0.6667 0.3333 0.3332
I: 0.3333 0.6667 0.6624
In: 0.6667 0.3333 0.9730
Pr: 0.0000 0.0000 0.1717
Pr: 0.0000 0.0000 0.8227

## Properties
E	-0.2991	Ry/atom

---

No. 12
LaLuGa2I2 | GGA-PBE | optimized geometry

abc: 4.2551 4.2551 12.3995
angles: 90.00 90.00 120.00
Sites, in units of the cell vectors:
Ga: 0.6667 0.3333 0.4627
Ga: 0.3333 0.6667 0.5186
I: 0.3333 0.6667 0.1789
I: 0.6667 0.3333 0.8405
La: 0.0000 0.0000 0.6656
Lu: 0.0000 0.0000 0.3338

## Properties
E	-0.3035	Ry/atom

---

Q: The lowest E belongs to which entry?
A: HoZrGa